Compound: AsRu2PtW
Source: Alexandria
Functional: PBE
Structure: optimized geometry

The space group is P4/mmm (No. 123) and the conventional cell measures 4.6689, 4.6689 and 4.7543 Å, with angles of 90.00, 90.00 and 90.00 degrees. The asymmetric unit holds As at (0.0000, 0.0000, 0.0000), Ru at (0.0000, 0.5000, 0.5000), Pt at (0.5000, 0.5000, 0.0000) and W at (0.0000, 0.0000, 0.5000).

For the energy above the most stable polymorph in this dataset, the calculation gives 0.000 eV per formula unit. The calculation puts the formation energy at 1531.2 meV/atom.

***

Compound: TmNbZnOs
Source: Alexandria
Functional: PBE
Structure: optimized geometry

The space group is F-43m (No. 216) and the conventional cell measures 6.6043, 6.6043 and 6.6043 Å, with angles of 90.00, 90.00 and 90.00 degrees. The asymmetric unit holds Tm at (0.0000, 0.0000, 0.0000), Nb at (0.0000, 0.0000, 0.5000), Zn at (0.2500, 0.2500, 0.7500) and Os at (0.2500, 0.2500, 0.2500).

The calculation puts the formation energy at -137.7 meV/atom.

***

Compound: CsNaGe2
Source: Alexandria
Functional: PBE
Structure: optimized geometry

The space group is I4_1/amd (No. 141, origin choice 2) and the conventional cell measures 5.2583, 5.2583 and 21.3688 Å, with angles of 90.00, 90.00 and 90.00 degrees. The asymmetric unit holds Cs at (0.0000, 0.2500, 0.3750), Na at (0.0000, 0.2500, 0.8750) and Ge at (0.0000, 0.0000, 0.0000).

For the energy above the most stable polymorph in this dataset, the calculation gives 1.342 eV per formula unit. The calculation puts the formation energy at 128.3 meV/atom.

***

Compound: AsRhCl2
Source: Alexandria
Functional: PBE
Structure: optimized geometry

The space group is P4mm (No. 99) and the conventional cell measures 3.5152, 3.5152 and 7.2155 Å, with angles of 90.00, 90.00 and 90.00 degrees. The asymmetric unit holds As at (0.0000, 0.0000, 0.0000), Rh at (0.5000, 0.5000, 0.8970), Cl at (0.0000, 0.0000, 0.6659) and Cl at (0.5000, 0.5000, 0.2341).

For the energy above the most stable polymorph in this dataset, the calculation gives 1.768 eV per formula unit.

***

Compound: Zn2InAs
Source: Alexandria
Functional: PBE
Structure: optimized geometry

The space group is Imm2 (No. 44) and the conventional cell measures 3.9560, 5.2195 and 7.9038 Å, with angles of 90.00, 90.00 and 90.00 degrees. The asymmetric unit holds Zn at (0.0000, 0.0000, 0.0000), Zn at (0.0000, 0.5000, 0.2730), In at (0.0000, 0.5000, 0.7683) and As at (0.0000, 0.0000, 0.5540).

The calculation puts the formation energy at 155.7 meV/atom.

***

Compound: K2TaNi
Source: Alexandria
Functional: PBE
Structure: optimized geometry

The space group is Pmmm (No. 47) and the conventional cell measures 3.0555, 4.7897 and 6.0894 Å, with angles of 90.00, 90.00 and 90.00 degrees. The asymmetric unit holds K at (0.0000, 0.0000, 0.0000), K at (0.5000, 0.5000, 0.0000), Ta at (0.0000, 0.5000, 0.5000) and Ni at (0.5000, 0.0000, 0.5000).

For the energy above the most stable polymorph in this dataset, the calculation gives 2.674 eV per formula unit. The calculation puts the formation energy at 1249.2 meV/atom.

***

Compound: RbNa9Hg4
Source: Alexandria
Functional: PBE
Structure: optimized geometry

The space group is I4/mcm (No. 140) and the conventional cell measures 10.8197, 10.8197 and 15.6344 Å, with angles of 90.00, 90.00 and 90.00 degrees. The asymmetric unit holds Rb at (0.0000, 0.0000, 0.2500), Na at (0.0000, 0.5000, 0.0000), Na at (0.0717, 0.1997, 0.0000), Na at (0.1353, 0.3647, 0.1902) and Hg at (0.1681, 0.3319, 0.3897).

The calculation puts the formation energy at -141.3 meV/atom.

***

Compound: TlCoRh2C
Source: Alexandria
Functional: PBE
Structure: optimized geometry

The space group is P4/mmm (No. 123) and the conventional cell measures 4.1760, 4.1760 and 3.8651 Å, with angles of 90.00, 90.00 and 90.00 degrees. The asymmetric unit holds Tl at (0.0000, 0.0000, 0.0000), Co at (0.5000, 0.5000, 0.0000), Rh at (0.0000, 0.5000, 0.5000) and C at (0.5000, 0.5000, 0.5000).

The calculation puts the formation energy at 147.6 meV/atom.

***

Compound: Cr2PSe
Source: Alexandria
Functional: PBE
Structure: optimized geometry

The space group is P4/mmm (No. 123) and the conventional cell measures 4.1821, 4.1821 and 2.9503 Å, with angles of 90.00, 90.00 and 90.00 degrees. The asymmetric unit holds Cr at (0.0000, 0.5000, 0.0000), P at (0.0000, 0.0000, 0.5000) and Se at (0.5000, 0.5000, 0.5000).

For the energy above the most stable polymorph in this dataset, the calculation gives 1.091 eV per formula unit.

***

Compound: Th8TcRu3Se4
Source: Alexandria
Functional: PBE
Structure: optimized geometry

The space group is C2/m (No. 12) and the conventional cell measures 14.1905, 8.1900 and 8.7617 Å, with angles of 90.00, 122.59 and 90.00 degrees. The asymmetric unit holds Th at (0.0116, 0.2485, 0.2852), Th at (0.2373, 0.0000, 0.7145), Th at (0.2371, 0.5000, 0.7119), Tc at (0.0000, 0.0000, 0.5000), Ru at (0.0000, 0.5000, 0.5000), Ru at (0.2500, 0.2500, 0.5000), Se at (0.0000, 0.0000, 0.0000), Se at (0.0000, 0.5000, 0.0000) and Se at (0.2500, 0.2500, 0.0000).

For the total DFT energy (no corrections), the calculation gives -7.979 eV per atom.

***

Compound: MgBe2P
Source: Alexandria
Functional: PBE
Structure: optimized geometry

The space group is Pmm2 (No. 25) and the conventional cell measures 2.8526, 3.2186 and 5.6383 Å, with angles of 90.00, 90.00 and 90.00 degrees. The asymmetric unit holds Mg at (0.0000, 0.0000, 0.0000), Be at (0.0000, 0.0000, 0.5163), Be at (0.5000, 0.5000, 0.7034) and P at (0.5000, 0.5000, 0.3258).

For the energy above the most stable polymorph in this dataset, the calculation gives 0.887 eV per formula unit. The calculation puts the formation energy at 210.3 meV/atom.

***

Compound: Zn5InAg8
Source: Alexandria
Functional: PBE
Structure: optimized geometry

The space group is I-4 (No. 82) and the conventional cell measures 7.9063, 7.9063 and 8.1471 Å, with angles of 90.00, 90.00 and 90.00 degrees. The asymmetric unit holds Zn at (0.0000, 0.0000, 0.0000), Zn at (0.1217, 0.7879, 0.4175), In at (0.0000, 0.5000, 0.7500), Ag at (0.0716, 0.6691, 0.0886) and Ag at (0.1017, 0.8381, 0.7433).

The calculation puts the formation energy at 73.3 meV/atom.